No. 1
Ag2HgS: optimized geometry, GGA-PBE.

## Properties
- DOS at the Fermi energy (states/eV per cell) = 1.6
- formation energy (no corrections) (eV per atom) = 0.1585
- space group = P4/mmm, No. 123
- E above lowest polymorph (eV/atom) = 0.1355
- E_tot (eV/atom) = -2.374

Unit cell a=3.5632 b=3.5632 c=6.0222 alpha=90.00 beta=90.00 gamma=90.00
Sites, in units of the cell vectors:
Ag1 0.0000 0.0000 0.2388
Ag2 0.0000 0.0000 0.7612
Hg1 0.5000 0.5000 0.5000
S1 0.5000 0.5000 0.0000

---

No. 2
BeHgI2N: optimized geometry, GGA-PBE.

## Properties
- DOS at the Fermi energy (states/eV per cell) = 2.0
- formation energy (no corrections) (eV per atom) = 0.2683
- space group = P4/mmm, No. 123
- E above lowest polymorph (eV/atom) = 0.0000
- E_tot (eV/atom) = -2.822

Unit cell a=6.9496 b=6.9496 c=3.0468 alpha=90.00 beta=90.00 gamma=90.00
Sites, in units of the cell vectors:
Be1 0.0000 0.0000 0.0000
Hg1 0.5000 0.5000 0.5000
I1 0.0000 0.5000 0.0000
I2 0.5000 0.0000 0.0000
N1 0.0000 0.0000 0.5000

---

No. 3
Cs2LaBiF6: optimized geometry, GGA-PBE.

## Properties
- DOS at the Fermi energy (states/eV per cell) = 0.0
- formation energy (no corrections) (eV per atom) = -2.8217
- space group = I4/mmm, No. 139
- E_tot (eV/atom) = -4.996

Unit cell a=7.1356 b=7.1356 c=7.1356 alpha=115.74 beta=115.74 gamma=97.56
Sites, in units of the cell vectors:
Cs1 0.2500 0.7500 0.5000
Cs2 0.7500 0.2500 0.5000
La1 0.0000 0.0000 0.0000
Bi1 0.5000 0.5000 0.0000
F1 0.2138 0.2138 0.4277
F2 0.2138 0.7862 0.0000
F3 0.2520 0.2520 0.0000
F4 0.7480 0.7480 0.0000
F5 0.7862 0.2138 0.0000
F6 0.7862 0.7862 0.5723

---

No. 4
InTeP: optimized geometry, GGA-PBE.

## Properties
- DOS at the Fermi energy (states/eV per cell) = 4.4
- formation energy (no corrections) (eV per atom) = 0.3965
- space group = F-43m, No. 216
- E above lowest polymorph (eV/atom) = 0.3735
- E_tot (eV/atom) = -3.367

Unit cell a=4.8442 b=4.8442 c=4.8442 alpha=60.00 beta=60.00 gamma=60.00
Sites, in units of the cell vectors:
In1 0.0000 0.0000 0.0000
Te1 0.5000 0.5000 0.5000
P1 0.7500 0.7500 0.7500

---

No. 5
BeZn2Ag: optimized geometry, GGA-PBE.

## Properties
- DOS at the Fermi energy (states/eV per cell) = 1.2
- formation energy from the elements (kJ per mole of atoms) = 17.56
- space group = R3m, No. 160
- E_tot (eV/atom) = -2.099

Unit cell a=8.6141 b=8.6141 c=8.6141 alpha=18.62 beta=18.62 gamma=18.62
Sites, in units of the cell vectors:
Be1 0.0000 0.0000 0.0000
Zn1 0.4968 0.4968 0.4968
Zn2 0.7393 0.7393 0.7393
Ag1 0.2561 0.2561 0.2561

---

No. 6
AsHPd2: optimized geometry, GGA-PBE.

## Properties
- DOS at the Fermi energy (states/eV per cell) = 3.5
- space group = P-1, No. 2
- E above lowest polymorph (eV/atom) = 0.0000
- E_tot (eV/atom) = -4.745

Unit cell a=3.0500 b=5.3094 c=7.0358 alpha=110.28 beta=102.12 gamma=90.05
Sites, in units of the cell vectors:
As1 0.2500 0.2462 0.0033
As2 0.7500 0.7538 0.9967
H1 0.4514 0.7639 0.4149
H2 0.5486 0.2361 0.5851
Pd1 0.0992 0.4440 0.6918
Pd2 0.4006 0.0595 0.3052
Pd3 0.5994 0.9405 0.6948
Pd4 0.9008 0.5560 0.3082

---

No. 7
PmTm2Br: optimized geometry, GGA-PBE.

## Properties
- DOS at the Fermi energy (states/eV per cell) = 7.1
- formation energy (no corrections) (eV per atom) = -0.1946
- space group = R-3m, No. 166
- E_tot (eV/atom) = -4.036

Unit cell a=11.5962 b=11.5962 c=11.5962 alpha=17.22 beta=17.22 gamma=17.22
Sites, in units of the cell vectors:
Pm1 0.0000 0.0000 0.0000
Tm1 0.0981 0.0981 0.0981
Tm2 0.9019 0.9019 0.9019
Br1 0.5000 0.5000 0.5000

---

No. 8
Zr3GeCl: optimized geometry, GGA-PBE.

## Properties
- DOS at the Fermi energy (states/eV per cell) = 8.1
- formation energy (no corrections) (eV per atom) = 0.0181
- space group = Pm-3m, No. 221
- E above lowest polymorph (eV/atom) = 0.0000
- E_tot (eV/atom) = -6.404

Unit cell a=4.7585 b=4.7585 c=4.7585 alpha=90.00 beta=90.00 gamma=90.00
Sites, in units of the cell vectors:
Zr1 0.0000 0.0000 0.5000
Zr2 0.0000 0.5000 0.0000
Zr3 0.5000 0.0000 0.0000
Ge1 0.5000 0.5000 0.5000
Cl1 0.0000 0.0000 0.0000

---

No. 9
Cd4IrC2: optimized geometry, GGA-PBE.

## Properties
- DOS at the Fermi energy (states/eV per cell) = 3.6
- formation energy from the elements (kJ per mole of atoms) = 99.85
- space group = I4/mmm, No. 139
- E_tot (eV/atom) = -3.389

Unit cell a=6.6375 b=6.6375 c=6.6375 alpha=130.76 beta=130.76 gamma=72.20
Sites, in units of the cell vectors:
Cd1 0.0000 0.5000 0.5000
Cd2 0.1285 0.1285 0.0000
Cd3 0.5000 0.0000 0.5000
Cd4 0.8715 0.8715 0.0000
Ir1 0.5000 0.5000 0.0000
C1 0.3265 0.3265 0.0000
C2 0.6735 0.6735 0.0000

---

No. 10
AlP2Se: optimized geometry, GGA-PBE.

## Properties
- DOS at the Fermi energy (states/eV per cell) = 1.6
- formation energy (no corrections) (eV per atom) = 0.3081
- space group = Immm, No. 71
- E above lowest polymorph (eV/atom) = 0.4709
- E_tot (eV/atom) = -4.204

Unit cell a=5.6235 b=5.6235 c=5.6235 alpha=144.04 beta=135.84 gamma=58.21
Sites, in units of the cell vectors:
Al1 0.0000 0.0000 0.0000
P1 0.1865 0.6865 0.5000
P2 0.8135 0.3135 0.5000
Se1 0.5000 0.5000 0.0000

---

No. 11
Mg4SnN4: optimized geometry, GGA-PBE.

## Properties
- formation energy (no corrections) (eV per atom) = -0.5204
- space group = P-1, No. 2
- E_tot (eV/atom) = -5.374

Unit cell a=5.5864 b=5.6293 c=8.4339 alpha=70.96 beta=83.11 gamma=68.46
Sites, in units of the cell vectors:
Mg1 0.2238 0.3322 0.2826
Mg2 0.2361 0.5601 0.9266
Mg3 0.2400 0.9899 0.0806
Mg4 0.2518 0.7442 0.5012
Mg5 0.7482 0.2558 0.4988
Mg6 0.7600 0.0101 0.9194
Mg7 0.7639 0.4399 0.0734
Mg8 0.7762 0.6678 0.7174
Sn1 0.2292 0.1173 0.7168
Sn2 0.7708 0.8827 0.2832
N1 0.0040 0.0906 0.3039
N2 0.0093 0.3134 0.8846
N3 0.3465 0.3408 0.5012
N4 0.4965 0.7995 0.8976
N5 0.5035 0.2005 0.1024
N6 0.6535 0.6592 0.4988
N7 0.9907 0.6866 0.1154
N8 0.9960 0.9094 0.6961

---

No. 12
LiPm2Si2: optimized geometry, GGA-PBE.

## Properties
- DOS at the Fermi energy (states/eV per cell) = 4.3
- formation energy (no corrections) (eV per atom) = -0.5726
- space group = Immm, No. 71
- E above lowest polymorph (eV/atom) = 0.0392
- E_tot (eV/atom) = -5.025

Unit cell a=5.6871 b=5.6871 c=5.6871 alpha=134.62 beta=114.62 gamma=83.17
Sites, in units of the cell vectors:
Li1 0.0000 0.0000 0.0000
Pm1 0.2858 0.7858 0.5000
Pm2 0.7142 0.2142 0.5000
Si1 0.3028 0.5000 0.8028
Si2 0.6972 0.5000 0.1972